# 1
This record from the Alexandria database describes crystalline PIr3 at its relaxed geometry. The functional is PBE.

Lattice parameters (Å, degrees): 6.1616 6.1616 6.1616 90.00 90.00 90.00
Last column: nearest neighbours and their distance in Å.
Space group Fm-3m (No. 225)
Inequivalent atoms, fractional coordinates:
P 0.0000 0.0000 0.0000  8 Ir 2.67
Ir 0.0000 0.0000 0.5000  8 Ir 2.67
Ir 0.2500 0.2500 0.2500  4 Ir 2.67, 4 P 2.67

Values from the calculation:
DOS(E_F) = 1.69 states/eV per atom
final energy = -7.50 eV per atom
offset from the most stable computed form = 2.09 eV per formula unit



# 2
This record from the Alexandria database describes crystalline SrLa4Mg5 at its relaxed geometry. The functional is PBE.

Lattice parameters (Å, degrees): 4.0132 4.0132 19.9896 90.00 90.00 90.00
Last column: nearest neighbours and their distance in Å.
Space group P4/mmm (No. 123)
Inequivalent atoms, fractional coordinates:
Sr 0.0000 0.0000 0.0000  8 Mg 3.61, 4 Sr 4.01
La 0.0000 0.0000 0.2087  8 Mg 3.42-3.44
La 0.0000 0.0000 0.4022  8 Mg 3.44-3.45
Mg 0.5000 0.5000 0.1118  4 La 3.44, 4 Sr 3.61
Mg 0.5000 0.5000 0.3046  8 La 3.42-3.44
Mg 0.5000 0.5000 0.5000  8 La 3.45

Values from the calculation:
DOS(E_F) = 1.04 states/eV per atom
final energy = -3.04 eV per atom



# 3
This record from the Alexandria database describes crystalline YAl2Au8 at its relaxed geometry. The functional is PBE.

Lattice parameters (Å, degrees): 14.1997 4.2728 7.6167 90.00 117.15 90.00
Last column: nearest neighbours and their distance in Å.
Space group C2/m (No. 12)
Inequivalent atoms, fractional coordinates:
Y 0.0000 0.0000 0.0000  12 Au 3.05-3.20
Al 0.2210 0.5000 0.6989  9 Au 2.66-2.86
Au 0.0417 0.5000 0.7353  1 Al 2.68, 5 Au 2.81-2.87
Au 0.1014 0.0000 0.4709  2 Al 2.79, 7 Au 2.87-3.11
Au 0.1647 0.5000 0.2877  3 Al 2.66-2.86, 4 Au 2.86-2.97
Au 0.1844 0.0000 0.8989  3 Al 2.73-2.81, 5 Au 2.79-2.92, 1 Y 3.05

Values from the calculation:
DOS(E_F) = 0.21 states/eV per atom
final energy = -4.06 eV per atom
offset from the most stable computed form = 0.00 eV per formula unit



# 4
This record from the Alexandria database describes crystalline Ac2BiPdO6 at its relaxed geometry. The functional is PBE.

Lattice parameters (Å, degrees): 5.7667 5.7667 5.3213 90.00 90.00 90.00
Last column: nearest neighbours and their distance in Å.
Space group P4mm (No. 99)
Inequivalent atoms, fractional coordinates:
Ac 0.0000 0.5000 0.0000  4 O 2.53
Bi 0.0000 0.0000 0.5462  5 O 2.20-2.25
Pd 0.5000 0.5000 0.6812  4 O 2.03
O 0.0000 0.0000 0.1323  1 Bi 2.20
O 0.2527 0.2527 0.7174  1 Pd 2.03, 1 Bi 2.25
O 0.5000 0.5000 0.1286  1 Pd 2.38

Values from the calculation:
formation energy (no corrections) = -1903 meV/atom
DOS(E_F) = 0.28 states/eV per atom
final energy = -6.61 eV per atom